# PBEsol TiAlGaAs2, relaxed
data_TiAlGaAs2
_cell_length_a 4.759
_cell_length_b 4.759
_cell_length_c 4.863
_cell_angle_alpha 90.00
_cell_angle_beta 90.00
_cell_angle_gamma 90.00
_symmetry_space_group_name_H-M 'P 4/m m m'
_symmetry_Int_Tables_number 123
_symmetry_space_group_name_Hall '-P 4 2'
loop_
_atom_site_label
_atom_site_type_symbol
_atom_site_fract_x
_atom_site_fract_y
_atom_site_fract_z
Ti1 Ti 0.000 0.000 0.000
Al1 Al 0.500 0.500 0.000
Ga1 Ga 0.000 0.000 0.500
As1 As 0.000 0.500 0.500
# Energy relative to the elements: 0.7621 eV/atom
# N(E_F): 1.06 states/eV per atom

# PBEsol CuAsPt2, relaxed
data_CuAsPt2
_cell_length_a 2.8505
_cell_length_b 2.8505
_cell_length_c 24.9606
_cell_angle_alpha 90.00
_cell_angle_beta 90.00
_cell_angle_gamma 120.00
_symmetry_space_group_name_H-M 'R -3 m'
_symmetry_Int_Tables_number 166
_symmetry_space_group_name_Hall '-R 3 2"'
loop_
_atom_site_label
_atom_site_type_symbol
_atom_site_fract_x
_atom_site_fract_y
_atom_site_fract_z
Cu1 Cu 0.0000 0.0000 0.0000
As1 As 0.0000 0.0000 0.5000
Pt1 Pt 0.0000 0.0000 0.2516
# Energy relative to the elements: -0.0253 eV/atom
# N(E_F): 0.68 states/eV per atom

# PBEsol NaYTiO4, relaxed
data_NaYTiO4
_cell_length_a 12.316
_cell_length_b 5.374
_cell_length_c 5.230
_cell_angle_alpha 90.00
_cell_angle_beta 90.00
_cell_angle_gamma 90.00
_symmetry_space_group_name_H-M 'P b c m'
_symmetry_Int_Tables_number 57
loop_
_symmetry_equiv_pos_as_xyz
'x,y,z'
'-x,-y,-z'
'-x,-y,z+1/2'
'x,y,-z+1/2'
'x,-y+1/2,-z'
'-x,y+1/2,z'
'-x,y+1/2,-z+1/2'
'x,-y+1/2,z+1/2'
loop_
_atom_site_label
_atom_site_type_symbol
_atom_site_fract_x
_atom_site_fract_y
_atom_site_fract_z
Na1 Na 0.087 0.003 0.250
Y1 Y 0.394 0.026 0.250
Ti1 Ti 0.239 0.509 0.250
O1 O 0.098 0.549 0.250
O2 O 0.258 0.250 0.000
O3 O 0.291 0.750 0.000
O4 O 0.436 0.071 0.750
# Raw formation energy: -3.02 eV per atom
# N(E_F): 0.00 states/eV per atom

# PBEsol Mg3Zr2, relaxed
data_Mg3Zr2
_cell_length_a 3.0507
_cell_length_b 3.0507
_cell_length_c 40.4423
_cell_angle_alpha 90.00
_cell_angle_beta 90.00
_cell_angle_gamma 120.00
_symmetry_space_group_name_H-M 'R -3 m'
_symmetry_Int_Tables_number 166
_symmetry_space_group_name_Hall '-R 3 2"'
loop_
_atom_site_label
_atom_site_type_symbol
_atom_site_fract_x
_atom_site_fract_y
_atom_site_fract_z
Mg1 Mg 0.0000 0.0000 0.0000
Mg2 Mg 0.0000 0.0000 0.1996
Zr1 Zr 0.0000 0.0000 0.4006
# Energy above the lowest structure with this stoichiometry: 0 meV per atom
# Energy relative to the elements: 0.0546 eV/atom
# N(E_F): 0.53 states/eV per atom

# PBEsol Co2CuTc, relaxed
data_Co2CuTc
_cell_length_a 8.450
_cell_length_b 2.529
_cell_length_c 4.328
_cell_angle_alpha 90.00
_cell_angle_beta 101.16
_cell_angle_gamma 90.00
_symmetry_space_group_name_H-M 'C 1 m 1'
_symmetry_Int_Tables_number 8
loop_
_symmetry_equiv_pos_as_xyz
'x,y,z'
'x,-y,z'
'x+1/2,y+1/2,z'
'x+1/2,-y+1/2,z'
loop_
_atom_site_label
_atom_site_type_symbol
_atom_site_fract_x
_atom_site_fract_y
_atom_site_fract_z
Co1 Co 0.000 0.000 0.000
Co2 Co 0.235 0.500 0.275
Cu1 Cu 0.247 0.000 0.782
Tc1 Tc 0.486 0.000 0.490
# Energy above the lowest structure with this stoichiometry: 52 meV per atom
# Energy relative to the elements: 0.1708 eV/atom
# N(E_F): 1.20 states/eV per atom

# PBEsol P2IrSO, relaxed
data_P2IrSO
_cell_length_a 4.682
_cell_length_b 4.682
_cell_length_c 3.683
_cell_angle_alpha 90.00
_cell_angle_beta 90.00
_cell_angle_gamma 90.00
_symmetry_space_group_name_H-M 'P 4/m m m'
_symmetry_Int_Tables_number 123
_symmetry_space_group_name_Hall '-P 4 2'
loop_
_atom_site_label
_atom_site_type_symbol
_atom_site_fract_x
_atom_site_fract_y
_atom_site_fract_z
P1 P 0.000 0.500 0.000
Ir1 Ir 0.000 0.000 0.000
S1 S 0.500 0.500 0.500
O1 O 0.000 0.000 0.500
# Energy above the lowest structure with this stoichiometry: 0 meV per atom
# Raw formation energy: 0.34 eV per atom
# N(E_F): 0.72 states/eV per atom

# PBEsol Mg2AlSb, relaxed
data_Mg2AlSb
_cell_length_a 3.2351
_cell_length_b 3.2351
_cell_length_c 28.7122
_cell_angle_alpha 90.00
_cell_angle_beta 90.00
_cell_angle_gamma 120.00
_symmetry_space_group_name_H-M 'R -3 m'
_symmetry_Int_Tables_number 166
_symmetry_space_group_name_Hall '-R 3 2"'
loop_
_atom_site_label
_atom_site_type_symbol
_atom_site_fract_x
_atom_site_fract_y
_atom_site_fract_z
Mg1 Mg 0.0000 0.0000 0.2450
Al1 Al 0.0000 0.0000 0.5000
Sb1 Sb 0.0000 0.0000 0.0000
# Energy above the lowest structure with this stoichiometry: 54 meV per atom
# Raw formation energy: -0.02 eV per atom
# N(E_F): 0.24 states/eV per atom

# PBEsol Li2FeRu, relaxed
data_Li2FeRu
_cell_length_a 2.433
_cell_length_b 2.433
_cell_length_c 8.649
_cell_angle_alpha 90.00
_cell_angle_beta 90.00
_cell_angle_gamma 90.00
_symmetry_space_group_name_H-M 'P 4/m m m'
_symmetry_Int_Tables_number 123
_symmetry_space_group_name_Hall '-P 4 2'
loop_
_atom_site_label
_atom_site_type_symbol
_atom_site_fract_x
_atom_site_fract_y
_atom_site_fract_z
Li1 Li 0.000 0.000 0.249
Fe1 Fe 0.500 0.500 0.500
Ru1 Ru 0.500 0.500 0.000
# Energy above the lowest structure with this stoichiometry: 131 meV per atom
# Energy relative to the elements: 0.3659 eV/atom
# N(E_F): 0.83 states/eV per atom

# PBEsol ZnCr3P3O13, relaxed
data_ZnCr3P3O13
_cell_length_a 7.268
_cell_length_b 6.194
_cell_length_c 10.353
_cell_angle_alpha 90.00
_cell_angle_beta 100.61
_cell_angle_gamma 90.00
_symmetry_space_group_name_H-M 'P 1 21/m 1'
_symmetry_Int_Tables_number 11
loop_
_symmetry_equiv_pos_as_xyz
'x,y,z'
'-x,-y,-z'
'-x,y+1/2,-z'
'x,-y+1/2,z'
loop_
_atom_site_label
_atom_site_type_symbol
_atom_site_fract_x
_atom_site_fract_y
_atom_site_fract_z
Zn1 Zn 0.127 0.250 0.147
Cr1 Cr 0.136 0.250 0.799
Cr2 Cr 0.265 0.750 0.447
Cr3 Cr 0.500 0.000 0.000
P1 P 0.195 0.750 0.124
P2 P 0.225 0.750 0.769
P3 P 0.289 0.250 0.519
O1 O 0.007 0.250 0.959
O2 O 0.099 0.561 0.797
O3 O 0.147 0.750 0.263
O4 O 0.163 0.250 0.623
O5 O 0.239 0.055 0.427
O6 O 0.286 0.750 0.638
O7 O 0.294 0.535 0.103
O8 O 0.376 0.250 0.904
O9 O 0.405 0.750 0.882
O10 O 0.494 0.250 0.592
# Raw formation energy: -1.97 eV per atom
# N(E_F): 0.00 states/eV per atom

# PBEsol La2RePb2, relaxed
data_La2RePb2
_cell_length_a 4.103
_cell_length_b 4.103
_cell_length_c 15.610
_cell_angle_alpha 90.00
_cell_angle_beta 90.00
_cell_angle_gamma 90.00
_symmetry_space_group_name_H-M 'I 4/m m m'
_symmetry_Int_Tables_number 139
_symmetry_space_group_name_Hall '-I 4 2'
loop_
_atom_site_label
_atom_site_type_symbol
_atom_site_fract_x
_atom_site_fract_y
_atom_site_fract_z
La1 La 0.000 0.500 0.250
Re1 Re 0.000 0.000 0.000
Pb1 Pb 0.000 0.000 0.412
# Energy relative to the elements: 1.0358 eV/atom
# N(E_F): 1.22 states/eV per atom

# PBEsol Ta2CdBiMo, relaxed
data_Ta2CdBiMo
_cell_length_a 5.118
_cell_length_b 5.118
_cell_length_c 5.097
_cell_angle_alpha 90.00
_cell_angle_beta 90.00
_cell_angle_gamma 90.00
_symmetry_space_group_name_H-M 'P 4/m m m'
_symmetry_Int_Tables_number 123
_symmetry_space_group_name_Hall '-P 4 2'
loop_
_atom_site_label
_atom_site_type_symbol
_atom_site_fract_x
_atom_site_fract_y
_atom_site_fract_z
Ta1 Ta 0.000 0.500 0.000
Cd1 Cd 0.000 0.000 0.500
Bi1 Bi 0.000 0.000 0.000
Mo1 Mo 0.500 0.500 0.500
# Energy relative to the elements: 2.5800 eV/atom
# N(E_F): 1.12 states/eV per atom

# PBEsol NaAlPS2, relaxed
data_NaAlPS2
_cell_length_a 4.778
_cell_length_b 4.778
_cell_length_c 4.759
_cell_angle_alpha 90.00
_cell_angle_beta 90.00
_cell_angle_gamma 90.00
_symmetry_space_group_name_H-M 'P 4/m m m'
_symmetry_Int_Tables_number 123
_symmetry_space_group_name_Hall '-P 4 2'
loop_
_atom_site_label
_atom_site_type_symbol
_atom_site_fract_x
_atom_site_fract_y
_atom_site_fract_z
Na1 Na 0.000 0.000 0.000
Al1 Al 0.500 0.500 0.500
P1 P 0.000 0.000 0.500
S1 S 0.000 0.500 0.000
# Raw formation energy: 1.05 eV per atom
# N(E_F): 1.20 states/eV per atom

# PBEsol La2ZnPb, relaxed
data_La2ZnPb
_cell_length_a 4.149
_cell_length_b 4.944
_cell_length_c 10.587
_cell_angle_alpha 90.00
_cell_angle_beta 90.00
_cell_angle_gamma 90.00
_symmetry_space_group_name_H-M 'I m m 2'
_symmetry_Int_Tables_number 44
loop_
_symmetry_equiv_pos_as_xyz
'x,y,z'
'-x,-y,z'
'-x,y,z'
'x,-y,z'
'x+1/2,y+1/2,z+1/2'
'-x+1/2,-y+1/2,z+1/2'
'-x+1/2,y+1/2,z+1/2'
'x+1/2,-y+1/2,z+1/2'
loop_
_atom_site_label
_atom_site_type_symbol
_atom_site_fract_x
_atom_site_fract_y
_atom_site_fract_z
La1 La 0.000 0.000 0.000
La2 La 0.000 0.500 0.221
Zn1 Zn 0.000 0.000 0.464
Pb1 Pb 0.000 0.500 0.777
# Energy relative to the elements: -0.4295 eV/atom
# N(E_F): 0.59 states/eV per atom

# PBEsol MgInRh, relaxed
data_MgInRh
_cell_length_a 3.138
_cell_length_b 3.516
_cell_length_c 9.255
_cell_angle_alpha 90.00
_cell_angle_beta 90.00
_cell_angle_gamma 90.00
_symmetry_space_group_name_H-M 'I m m 2'
_symmetry_Int_Tables_number 44
loop_
_symmetry_equiv_pos_as_xyz
'x,y,z'
'-x,-y,z'
'-x,y,z'
'x,-y,z'
'x+1/2,y+1/2,z+1/2'
'-x+1/2,-y+1/2,z+1/2'
'-x+1/2,y+1/2,z+1/2'
'x+1/2,-y+1/2,z+1/2'
loop_
_atom_site_label
_atom_site_type_symbol
_atom_site_fract_x
_atom_site_fract_y
_atom_site_fract_z
Mg1 Mg 0.000 0.000 0.000
In1 In 0.000 0.000 0.307
Rh1 Rh 0.000 0.000 0.646
# Energy relative to the elements: -0.3704 eV/atom
# N(E_F): 0.42 states/eV per atom

# PBEsol TaFeCo2, relaxed
data_TaFeCo2
_cell_length_a 3.571
_cell_length_b 3.571
_cell_length_c 7.522
_cell_angle_alpha 90.00
_cell_angle_beta 90.00
_cell_angle_gamma 90.00
_symmetry_space_group_name_H-M 'I -4 m 2'
_symmetry_Int_Tables_number 119
_symmetry_space_group_name_Hall 'I -4 -2'
loop_
_atom_site_label
_atom_site_type_symbol
_atom_site_fract_x
_atom_site_fract_y
_atom_site_fract_z
Ta1 Ta 0.000 0.000 0.000
Fe1 Fe 0.000 0.500 0.250
Co1 Co 0.000 0.000 0.500
Co2 Co 0.000 0.500 0.750
# Energy above the lowest structure with this stoichiometry: 77 meV per atom
# Energy relative to the elements: -0.1255 eV/atom
# N(E_F): 0.92 states/eV per atom

# PBEsol Mg2VBiO6, relaxed
data_Mg2VBiO6
_cell_length_a 7.935
_cell_length_b 12.274
_cell_length_c 5.450
_cell_angle_alpha 90.00
_cell_angle_beta 90.00
_cell_angle_gamma 90.00
_symmetry_space_group_name_H-M 'C m c m'
_symmetry_Int_Tables_number 63
_symmetry_space_group_name_Hall '-C 2c 2'
loop_
_atom_site_label
_atom_site_type_symbol
_atom_site_fract_x
_atom_site_fract_y
_atom_site_fract_z
Mg1 Mg 0.192 0.088 0.250
V1 V 0.000 0.197 0.750
Bi1 Bi 0.000 0.407 0.250
O1 O 0.000 0.115 0.009
O2 O 0.169 0.500 0.000
O3 O 0.175 0.275 0.750
# Energy above the lowest structure with this stoichiometry: 4 meV per atom
# Raw formation energy: -2.29 eV per atom
# N(E_F): 0.00 states/eV per atom

# PBEsol SrI2Br, relaxed
data_SrI2Br
_cell_length_a 4.779
_cell_length_b 4.779
_cell_length_c 24.993
_cell_angle_alpha 90.00
_cell_angle_beta 90.00
_cell_angle_gamma 90.00
_symmetry_space_group_name_H-M 'I -4 2 d'
_symmetry_Int_Tables_number 122
_symmetry_space_group_name_Hall 'I -4 2bw'
loop_
_atom_site_label
_atom_site_type_symbol
_atom_site_fract_x
_atom_site_fract_y
_atom_site_fract_z
Sr1 Sr 0.000 0.000 0.000
I1 I 0.242 0.250 0.125
Br1 Br 0.000 0.000 0.500
# Energy above the lowest structure with this stoichiometry: 0 meV per atom
# Raw formation energy: -1.06 eV per atom
# N(E_F): 0.50 states/eV per atom

# PBEsol K2SrBr, relaxed
data_K2SrBr
_cell_length_a 4.008
_cell_length_b 4.008
_cell_length_c 11.458
_cell_angle_alpha 90.00
_cell_angle_beta 90.00
_cell_angle_gamma 90.00
_symmetry_space_group_name_H-M 'P 4 m m'
_symmetry_Int_Tables_number 99
loop_
_symmetry_equiv_pos_as_xyz
'x,y,z'
'-y,x,z'
'-x,-y,z'
'y,-x,z'
'-x,y,z'
'y,x,z'
'x,-y,z'
'-y,-x,z'
loop_
_atom_site_label
_atom_site_type_symbol
_atom_site_fract_x
_atom_site_fract_y
_atom_site_fract_z
K1 K 0.000 0.000 0.000
K2 K 0.500 0.500 0.328
Sr1 Sr 0.000 0.000 0.628
Br1 Br 0.500 0.500 0.804
# Energy above the lowest structure with this stoichiometry: 64 meV per atom
# Raw formation energy: -0.66 eV per atom
# N(E_F): 0.57 states/eV per atom

# PBEsol Ta4CrSe, relaxed
data_Ta4CrSe
_cell_length_a 7.610
_cell_length_b 7.610
_cell_length_c 7.610
_cell_angle_alpha 90.00
_cell_angle_beta 90.00
_cell_angle_gamma 90.00
_symmetry_space_group_name_H-M 'F -4 3 m'
_symmetry_Int_Tables_number 216
_symmetry_space_group_name_Hall 'F -4 2 3'
loop_
_atom_site_label
_atom_site_type_symbol
_atom_site_fract_x
_atom_site_fract_y
_atom_site_fract_z
Ta1 Ta 0.124 0.124 0.376
Cr1 Cr 0.250 0.250 0.750
Se1 Se 0.000 0.000 0.000
# Raw formation energy: 0.75 eV per atom
# N(E_F): 0.85 states/eV per atom

# PBEsol NiPtW, relaxed
data_NiPtW
_cell_length_a 2.713
_cell_length_b 3.761
_cell_length_c 7.988
_cell_angle_alpha 90.00
_cell_angle_beta 90.00
_cell_angle_gamma 90.00
_symmetry_space_group_name_H-M 'I m m 2'
_symmetry_Int_Tables_number 44
loop_
_symmetry_equiv_pos_as_xyz
'x,y,z'
'-x,-y,z'
'-x,y,z'
'x,-y,z'
'x+1/2,y+1/2,z+1/2'
'-x+1/2,-y+1/2,z+1/2'
'-x+1/2,y+1/2,z+1/2'
'x+1/2,-y+1/2,z+1/2'
loop_
_atom_site_label
_atom_site_type_symbol
_atom_site_fract_x
_atom_site_fract_y
_atom_site_fract_z
Ni1 Ni 0.000 0.000 0.000
Pt1 Pt 0.000 0.000 0.669
W1 W 0.000 0.000 0.342
# Energy above the lowest structure with this stoichiometry: 0 meV per atom
# Energy relative to the elements: -0.2529 eV/atom
# N(E_F): 0.57 states/eV per atom

# PBEsol HfZr3O, relaxed
data_HfZr3O
_cell_length_a 4.483
_cell_length_b 4.483
_cell_length_c 4.483
_cell_angle_alpha 90.00
_cell_angle_beta 90.00
_cell_angle_gamma 90.00
_symmetry_space_group_name_H-M 'P m -3 m'
_symmetry_Int_Tables_number 221
_symmetry_space_group_name_Hall '-P 4 2 3'
loop_
_atom_site_label
_atom_site_type_symbol
_atom_site_fract_x
_atom_site_fract_y
_atom_site_fract_z
Hf1 Hf 0.000 0.000 0.000
Zr1 Zr 0.000 0.500 0.500
O1 O 0.500 0.500 0.500
# Raw formation energy: -1.16 eV per atom
# N(E_F): 0.71 states/eV per atom

# PBEsol Nb3Ir, relaxed
data_Nb3Ir
_cell_length_a 5.122
_cell_length_b 5.122
_cell_length_c 5.122
_cell_angle_alpha 90.00
_cell_angle_beta 90.00
_cell_angle_gamma 90.00
_symmetry_space_group_name_H-M 'P m -3 n'
_symmetry_Int_Tables_number 223
_symmetry_space_group_name_Hall '-P 4n 2 3'
loop_
_atom_site_label
_atom_site_type_symbol
_atom_site_fract_x
_atom_site_fract_y
_atom_site_fract_z
Nb1 Nb 0.000 0.250 0.500
Ir1 Ir 0.000 0.000 0.000
# Energy relative to the elements: -0.4041 eV/atom
# N(E_F): 0.64 states/eV per atom

# PBEsol LaMgCrMoO6, relaxed
data_LaMgCrMoO6
_cell_length_a 5.309
_cell_length_b 5.494
_cell_length_c 9.214
_cell_angle_alpha 90.00
_cell_angle_beta 124.80
_cell_angle_gamma 90.00
_symmetry_space_group_name_H-M 'P 1 c 1'
_symmetry_Int_Tables_number 7
loop_
_symmetry_equiv_pos_as_xyz
'x,y,z'
'x,-y,z+1/2'
loop_
_atom_site_label
_atom_site_type_symbol
_atom_site_fract_x
_atom_site_fract_y
_atom_site_fract_z
La1 La 0.000 0.207 0.000
Mg1 Mg 0.462 0.305 0.500
Cr1 Cr 0.239 0.250 0.748
Mo1 Mo 0.742 0.254 0.251
O1 O 0.019 0.475 0.799
O2 O 0.113 0.053 0.307
O3 O 0.407 0.485 0.194
O4 O 0.490 0.053 0.691
O5 O 0.562 0.290 0.996
O6 O 0.857 0.233 0.501
# Raw formation energy: -2.42 eV per atom
# N(E_F): 0.38 states/eV per atom

# PBEsol ScFeAsBr2, relaxed
data_ScFeAsBr2
_cell_length_a 5.021
_cell_length_b 5.021
_cell_length_c 5.387
_cell_angle_alpha 90.00
_cell_angle_beta 90.00
_cell_angle_gamma 90.00
_symmetry_space_group_name_H-M 'P 4/m m m'
_symmetry_Int_Tables_number 123
_symmetry_space_group_name_Hall '-P 4 2'
loop_
_atom_site_label
_atom_site_type_symbol
_atom_site_fract_x
_atom_site_fract_y
_atom_site_fract_z
Sc1 Sc 0.000 0.000 0.000
Fe1 Fe 0.500 0.500 0.500
As1 As 0.000 0.000 0.500
Br1 Br 0.000 0.500 0.000
# Energy above the lowest structure with this stoichiometry: 124 meV per atom
# Raw formation energy: 0.13 eV per atom
# N(E_F): 1.13 states/eV per atom